Entry 1:
First-principles (PBE) data for an optimized crystal structure of AcGd2Pu, as listed in Alexandria.

Geometry as CIF:
```
data_AcGd2Pu
_chemical_formula_sum 'Ac1 Gd2 Pu1'
_cell_length_a 3.561
_cell_length_b 3.561
_cell_length_c 12.659
_cell_angle_alpha 81.92
_cell_angle_beta 81.92
_cell_angle_gamma 60.00
_symmetry_space_group_name_H-M 'P 1'
_symmetry_Int_Tables_number 1
loop_
_symmetry_equiv_pos_as_xyz
'x,y,z'
loop_
_atom_site_label
_atom_site_type_symbol
_atom_site_fract_x
_atom_site_fract_y
_atom_site_fract_z
Gd1 Gd 0.406 0.406 0.783
Gd2 Gd 0.594 0.594 0.217
Pu1 Pu 0.000 0.000 0.000
Ac1 Ac 0.500 0.500 0.500
```

Results
* ΔE_f: 0.257 eV/atom
* DOS at the Fermi energy: 12.12 states/eV per cell

Entry 2:
First-principles (PBE) data for an optimized crystal structure of AcGd2Pu, as listed in Alexandria.

Geometry as CIF:
```
data_AcGd2Pu
_chemical_formula_sum 'Ac1 Gd2 Pu1'
_cell_length_a 3.681
_cell_length_b 3.681
_cell_length_c 10.139
_cell_angle_alpha 90.00
_cell_angle_beta 90.00
_cell_angle_gamma 90.00
_symmetry_space_group_name_H-M 'P 1'
_symmetry_Int_Tables_number 1
loop_
_symmetry_equiv_pos_as_xyz
'x,y,z'
loop_
_atom_site_label
_atom_site_type_symbol
_atom_site_fract_x
_atom_site_fract_y
_atom_site_fract_z
Gd1 Gd 0.000 0.000 0.228
Gd2 Gd 0.000 0.000 0.772
Pu1 Pu 0.500 0.500 0.000
Ac1 Ac 0.500 0.500 0.500
```

Results
* ΔE_f: 0.135 eV/atom
* DOS at the Fermi energy: 9.36 states/eV per cell

Entry 3:
First-principles (PBE) data for an optimized crystal structure of AcGd2Pu, as listed in Alexandria.

Geometry as CIF:
```
data_AcGd2Pu
_chemical_formula_sum 'Ac1 Gd2 Pu1'
_cell_length_a 5.232
_cell_length_b 5.112
_cell_length_c 5.112
_cell_angle_alpha 90.00
_cell_angle_beta 90.00
_cell_angle_gamma 90.00
_symmetry_space_group_name_H-M 'P 1'
_symmetry_Int_Tables_number 1
loop_
_symmetry_equiv_pos_as_xyz
'x,y,z'
loop_
_atom_site_label
_atom_site_type_symbol
_atom_site_fract_x
_atom_site_fract_y
_atom_site_fract_z
Gd1 Gd 0.000 0.000 0.500
Ac1 Ac 0.500 0.000 0.000
Pu1 Pu 0.500 0.500 0.500
Gd2 Gd 0.000 0.500 0.000
```

Results
* ΔE_f: 0.177 eV/atom
* DOS at the Fermi energy: 15.24 states/eV per cell